## Mg2TcCl (PBE)

Data for an optimized crystal structure of Mg2TcCl.

Results
energy above the most stable polymorph in this dataset: 278 meV/atom
uncorrected formation energy: 0.0157 eV per atom
calculated total energy: -15.34 eV/cell
theoretical density: 3.78 Mg/m³

POSCAR file:
```
Mg2TcCl
1.0
-3.900 -1.596 -4.722
1.483 -2.807 -5.475
-0.277 0.188 6.320
Cl Mg Tc
1 2 1
direct
0.314 0.814 0.500
0.686 0.186 0.500
0.017 0.017 0.000
0.483 0.483 0.000
```